(1)
VASP calculation (GGA-PBE) on a geometry-optimized LiV2PdCl structure.

Summary:
Symmetry ... P4/mmm (123)
E_form (uncorrected) ... 0.2981 eV per atom

a b c (Å): 4.2892 4.2892 4.1840
angles (deg): 90.00 90.00 90.00
Closest atoms and distances in Å follow each position.
Fractional positions:
Li 0.0000 0.0000 0.0000  2 Cl 2.09
V 0.0000 0.5000 0.5000  2 Cl 2.14
V 0.5000 0.0000 0.5000  2 Cl 2.14
Pd 0.5000 0.5000 0.0000  8 V 3.00, 4 Li 3.03
Cl 0.0000 0.0000 0.5000  2 Li 2.09, 4 V 2.14

(2)
VASP calculation (GGA-PBE) on a geometry-optimized Ca4SnH structure.

Summary:
Symmetry ... C2/m (12)
Final energy ... -2.93 eV per atom

a b c (Å): 9.4866 9.4866 5.7047
angles (deg): 107.33 107.33 42.53
Closest atoms and distances in Å follow each position.
Fractional positions:
Ca 0.1278 0.6312 0.3676  1 H 2.39
Ca 0.1998 0.1998 0.2117  1 H 2.26
Ca 0.2429 0.7571 0.0000  2 H 2.53
Ca 0.3688 0.8722 0.6324  1 H 2.39
Ca 0.6312 0.1278 0.3676  1 H 2.39
Ca 0.7571 0.2429 0.0000  2 H 2.53
Ca 0.8002 0.8002 0.7883  1 H 2.26
Ca 0.8722 0.3688 0.6324  1 H 2.39
Sn 0.3154 0.3154 0.8181  12 Ca 3.41-3.69
Sn 0.6846 0.6846 0.1819  12 Ca 3.41-3.69
H 0.0881 0.0881 0.8780  5 Ca 2.26-2.53
H 0.9119 0.9119 0.1220  5 Ca 2.26-2.53

(3)
VASP calculation (GGA-PBE) on a geometry-optimized Ba2TeHO6 structure.

Summary:
Symmetry ... P1 (1)
Final energy ... -5.75 eV per atom

a b c (Å): 5.2701 6.1552 6.3157
angles (deg): 97.66 113.42 115.06
Closest atoms and distances in Å follow each position.
Fractional positions:
Ba 0.0000 0.0000 0.0000  7 O 2.77-3.06
Ba 0.0204 0.5743 0.4312  6 O 2.68-2.91, 1 H 2.90
Te 0.5006 0.2843 0.7153  6 O 1.93-2.06
H 0.7194 0.0784 0.4768  1 O 1.02
O 0.0444 0.1179 0.4755  1 H 1.63
O 0.4186 0.0033 0.8363  1 Te 1.94
O 0.5079 0.0681 0.4407  1 H 1.02
O 0.5151 0.4904 0.9864  1 Te 1.94
O 0.5924 0.5547 0.5821  1 Te 1.93
O 0.9622 0.4444 0.9532  1 Te 1.95

(4)
VASP calculation (GGA-PBE) on a geometry-optimized EuErH structure.

Summary:
Symmetry ... P2_1/c (14)
ΔE to the lowest computed polymorph ... 0 meV per atom

a b c (Å): 8.4186 5.2466 7.2634
angles (deg): 90.00 114.02 90.00
Closest atoms and distances in Å follow each position.
Fractional positions:
Eu 0.1382 0.2419 0.4405  1 H 2.33
Eu 0.1382 0.2581 0.9405  1 H 2.33
Eu 0.8618 0.7419 0.0595  1 H 2.33
Eu 0.8618 0.7581 0.5595  1 H 2.33
Er 0.3974 0.7451 0.8207  3 H 2.15-2.20
Er 0.3974 0.7549 0.3207  3 H 2.15-2.20
Er 0.6026 0.2451 0.6793  3 H 2.15-2.20
Er 0.6026 0.2549 0.1793  3 H 2.15-2.20
H 0.3857 0.5146 0.0672  3 Er 2.15-2.20, 1 Eu 2.33
H 0.3857 0.9854 0.5672  3 Er 2.15-2.20, 1 Eu 2.33
H 0.6143 0.0146 0.4328  3 Er 2.15-2.20, 1 Eu 2.33
H 0.6143 0.4854 0.9328  3 Er 2.15-2.20, 1 Eu 2.33

(5)
VASP calculation (GGA-PBE) on a geometry-optimized Pm2ErCdN structure.

Summary:
Symmetry ... P4/mmm (123)
E_form (uncorrected) ... -0.7798 eV per atom

a b c (Å): 5.0320 5.0320 4.7230
angles (deg): 90.00 90.00 90.00
Closest atoms and distances in Å follow each position.
Fractional positions:
Pm 0.0000 0.5000 0.0000  2 N 2.52
Pm 0.5000 0.0000 0.0000  2 N 2.52
Er 0.0000 0.0000 0.5000  2 N 2.36
Cd 0.5000 0.5000 0.5000  8 Pm 3.45, 4 Er 3.56
N 0.0000 0.0000 0.0000  2 Er 2.36, 4 Pm 2.52

(6)
VASP calculation (GGA-PBE) on a geometry-optimized Ga2PPb structure.

Summary:
Symmetry ... I-42d (122)
Calculated formation energy ... 0.02 eV per atom
ΔE to the lowest computed polymorph ... 0 meV per atom

a b c (Å): 7.1573 7.1573 7.1573
angles (deg): 129.85 129.85 73.65
Closest atoms and distances in Å follow each position.
Fractional positions:
Ga 0.0734 0.6250 0.9484  2 P 2.41
Ga 0.3750 0.3234 0.4484  2 P 2.41
Ga 0.6766 0.1250 0.0516  2 P 2.41
Ga 0.8750 0.9266 0.5516  2 P 2.41
P 0.0000 0.0000 0.0000  4 Ga 2.41
P 0.7500 0.2500 0.5000  4 Ga 2.41
Pb 0.2500 0.7500 0.5000  4 Ga 2.77
Pb 0.5000 0.5000 0.0000  4 Ga 2.77

(7)
VASP calculation (GGA-PBE) on a geometry-optimized CrFePb2 structure.

Summary:
Symmetry ... R3m (160)
Calculated formation energy ... 0.47 eV per atom
ΔE to the lowest computed polymorph ... 15 meV per atom

a b c (Å): 7.2583 7.2583 7.2583
angles (deg): 30.21 30.21 30.21
Closest atoms and distances in Å follow each position.
Fractional positions:
Cr 0.0000 0.0000 0.0000  3 Fe 2.20
Fe 0.3203 0.3203 0.3203  3 Cr 2.20
Pb 0.5633 0.5633 0.5633  3 Fe 2.88, 3 Cr 3.06
Pb 0.7593 0.7593 0.7593  3 Cr 2.91, 3 Fe 3.10

(8)
VASP calculation (GGA-PBE) on a geometry-optimized Zn2FeCl structure.

Summary:
Symmetry ... Cmm2 (35)
E_form (uncorrected) ... 0.1260 eV per atom
ΔE to the lowest computed polymorph ... 139 meV per atom

a b c (Å): 2.9962 2.9962 8.4098
angles (deg): 90.00 90.00 116.02
Closest atoms and distances in Å follow each position.
Fractional positions:
Zn 0.0000 0.0000 0.0000  2 Fe 2.51, 2 Zn 2.60
Zn 0.5000 0.5000 0.2449  2 Zn 2.60
Fe 0.5000 0.5000 0.7685  2 Cl 2.35, 2 Zn 2.51
Cl 0.0000 0.0000 0.5619  2 Fe 2.35

(9)
VASP calculation (GGA-PBE) on a geometry-optimized Pr2AlPd3 structure.

Summary:
Symmetry ... P6_3/mmc (194)
Calculated formation energy ... -0.79 eV per atom
ΔE to the lowest computed polymorph ... 0 meV per atom

a b c (Å): 5.7356 5.7356 8.5158
angles (deg): 90.00 90.00 120.00
Closest atoms and distances in Å follow each position.
Fractional positions:
Pr 0.3333 0.6667 0.0593  9 Pd 3.11-3.30, 4 Pr 3.25-3.46, 3 Al 3.35
Pr 0.3333 0.6667 0.4407  9 Pd 3.11-3.30, 4 Pr 3.25-3.46, 3 Al 3.35
Pr 0.6667 0.3333 0.5593  9 Pd 3.11-3.30, 4 Pr 3.25-3.46, 3 Al 3.35
Pr 0.6667 0.3333 0.9407  9 Pd 3.11-3.30, 4 Pr 3.25-3.46, 3 Al 3.35
Al 0.0000 0.0000 0.0000  6 Pd 2.69
Al 0.0000 0.0000 0.5000  6 Pd 2.69
Pd 0.1663 0.3326 0.7500  2 Al 2.69, 4 Pd 2.86-2.87
Pd 0.1663 0.8337 0.7500  2 Al 2.69, 4 Pd 2.86-2.87
Pd 0.3326 0.1663 0.2500  2 Al 2.69, 4 Pd 2.86-2.87
Pd 0.6674 0.8337 0.7500  2 Al 2.69, 4 Pd 2.86-2.87
Pd 0.8337 0.1663 0.2500  2 Al 2.69, 4 Pd 2.86-2.87
Pd 0.8337 0.6674 0.2500  2 Al 2.69, 4 Pd 2.86-2.87

(10)
VASP calculation (GGA-PBE) on a geometry-optimized Th3InAu2 structure.

Summary:
Symmetry ... P4/mmm (123)
Calculated formation energy ... -0.48 eV per atom

a b c (Å): 3.4943 3.4943 12.9895
angles (deg): 90.00 90.00 90.00
Closest atoms and distances in Å follow each position.
Fractional positions:
Th 0.0000 0.0000 0.0000  8 Au 3.24, 4 Th 3.49
Th 0.0000 0.0000 0.3187  4 Au 3.20, 4 In 3.41, 4 Th 3.49
Th 0.0000 0.0000 0.6813  4 Au 3.20, 4 In 3.41, 4 Th 3.49
In 0.5000 0.5000 0.5000  8 Th 3.41, 4 In 3.49
Au 0.5000 0.5000 0.1616  8 Th 3.20-3.24, 4 Au 3.49
Au 0.5000 0.5000 0.8384  8 Th 3.20-3.24, 4 Au 3.49

(11)
VASP calculation (GGA-PBE) on a geometry-optimized NbBiB2 structure.

Summary:
Symmetry ... I-42d (122)
Calculated formation energy ... 0.91 eV per atom

a b c (Å): 6.3594 6.3594 6.3594
angles (deg): 129.24 129.24 74.63
Closest atoms and distances in Å follow each position.
Fractional positions:
Nb 0.0000 0.0000 0.0000  4 B 2.21
Nb 0.7500 0.2500 0.5000  4 B 2.21
Bi 0.2500 0.7500 0.5000  4 B 2.41
Bi 0.5000 0.5000 0.0000  4 B 2.41
B 0.0950 0.6250 0.9700  2 Nb 2.21, 2 Bi 2.41
B 0.3750 0.3450 0.4700  2 Nb 2.21, 2 Bi 2.41
B 0.6550 0.1250 0.0300  2 Nb 2.21, 2 Bi 2.41
B 0.8750 0.9050 0.5300  2 Nb 2.21, 2 Bi 2.41

(12)
VASP calculation (GGA-PBE) on a geometry-optimized Mg3H3Ir2 structure.

Summary:
Symmetry ... Cm (8)
ΔE to the lowest computed polymorph ... 18 meV per atom

a b c (Å): 5.0162 5.0162 5.9970
angles (deg): 123.32 123.32 51.02
Closest atoms and distances in Å follow each position.
Fractional positions:
Mg 0.0000 0.0000 0.0000  4 H 2.22-2.25
Mg 0.6105 0.6105 0.7400  2 H 2.22
Mg 0.8152 0.8152 0.3804  4 H 2.43-2.59, 4 Ir 2.68-2.69
H 0.3021 0.8000 0.3702  2 Ir 1.83-1.84
H 0.4323 0.4323 0.9526  2 Ir 1.75-1.77
H 0.8000 0.3021 0.3702  2 Ir 1.83-1.84
Ir 0.2566 0.2566 0.5845  3 H 1.77-1.84
Ir 0.3479 0.3479 0.1490  3 H 1.75-1.83

(13)
VASP calculation (GGA-PBE) on a geometry-optimized LiZnPdF6 structure.

Summary:
Symmetry ... P4_2nm (102)
E_form (uncorrected) ... -1.9771 eV per atom

a b c (Å): 4.7070 4.7070 9.7862
angles (deg): 90.00 90.00 90.00
Closest atoms and distances in Å follow each position.
Fractional positions:
Li 0.0000 0.0000 0.0000  6 F 2.00-2.17
Li 0.5000 0.5000 0.5000  6 F 2.00-2.17
Zn 0.0000 0.0000 0.3424  6 F 2.00-2.14
Zn 0.5000 0.5000 0.8424  6 F 2.00-2.14
Pd 0.0000 0.0000 0.6718  6 F 1.98-2.12
Pd 0.5000 0.5000 0.1718  6 F 1.98-2.12
F 0.1995 0.1995 0.5034  1 Li 2.00, 1 Zn 2.06, 1 Pd 2.12
F 0.1999 0.1999 0.8394  1 Zn 2.00, 1 Li 2.06, 1 Pd 2.11
F 0.2032 0.2032 0.1730  1 Pd 1.98, 1 Zn 2.14, 1 Li 2.17
F 0.2968 0.7032 0.6730  1 Pd 1.98, 1 Zn 2.14, 1 Li 2.17
F 0.3001 0.6999 0.3394  1 Zn 2.00, 1 Li 2.06, 1 Pd 2.11
F 0.3005 0.6995 0.0034  1 Li 2.00, 1 Zn 2.06, 1 Pd 2.12
F 0.6995 0.3005 0.0034  1 Li 2.00, 1 Zn 2.06, 1 Pd 2.12
F 0.6999 0.3001 0.3394  1 Zn 2.00, 1 Li 2.06, 1 Pd 2.11
F 0.7032 0.2968 0.6730  1 Pd 1.98, 1 Zn 2.14, 1 Li 2.17
F 0.7968 0.7968 0.1730  1 Pd 1.98, 1 Zn 2.14, 1 Li 2.17
F 0.8001 0.8001 0.8394  1 Zn 2.00, 1 Li 2.06, 1 Pd 2.11
F 0.8005 0.8005 0.5034  1 Li 2.00, 1 Zn 2.06, 1 Pd 2.12

(14)
VASP calculation (GGA-PBE) on a geometry-optimized NbGaHSI structure.

Summary:
Symmetry ... Pm (6)
ΔE to the lowest computed polymorph ... 41 meV per atom

a b c (Å): 3.7335 3.6001 7.9501
angles (deg): 90.00 95.26 90.00
Closest atoms and distances in Å follow each position.
Fractional positions:
Nb 0.0000 0.0000 0.0000  2 H 1.95-1.97
Ga 0.5331 0.5000 0.1398  2 S 2.34, 2 H 2.48
H 0.4815 0.0000 0.9246  2 Nb 1.95-1.97
S 0.3260 0.0000 0.2916  2 Ga 2.34, 1 Nb 2.52
I 0.9419 0.5000 0.7281  2 Nb 2.81, 4 H 3.02-3.03

(15)
VASP calculation (GGA-PBE) on a geometry-optimized Re2RuRh structure.

Summary:
Symmetry ... F-43m (216)
Calculated formation energy ... 0.32 eV per atom
ΔE to the lowest computed polymorph ... 468 meV per atom

a b c (Å): 4.3702 4.3702 4.3702
angles (deg): 60.00 60.00 60.00
Closest atoms and distances in Å follow each position.
Fractional positions:
Re 0.0000 0.0000 0.0000  4 Re 2.68, 4 Ru 2.68
Re 0.2500 0.2500 0.2500  4 Rh 2.68, 4 Re 2.68
Ru 0.7500 0.7500 0.7500  4 Rh 2.68, 4 Re 2.68
Rh 0.5000 0.5000 0.5000  4 Ru 2.68, 4 Re 2.68

(16)
VASP calculation (GGA-PBE) on a geometry-optimized TbCeThGa structure.

Summary:
Symmetry ... F-43m (216)
Calculated formation energy ... -0.02 eV per atom

a b c (Å): 5.3059 5.3059 5.3059
angles (deg): 60.00 60.00 60.00
Closest atoms and distances in Å follow each position.
Fractional positions:
Tb 0.0000 0.0000 0.0000  4 Ce 3.25, 4 Ga 3.25
Ce 0.7500 0.7500 0.7500  4 Th 3.25, 4 Tb 3.25
Th 0.5000 0.5000 0.5000  4 Ce 3.25, 4 Ga 3.25
Ga 0.2500 0.2500 0.2500  4 Th 3.25, 4 Tb 3.25

(17)
VASP calculation (GGA-PBE) on a geometry-optimized Ho3In4Ga2 structure.

Summary:
Symmetry ... P-62m (189)
Calculated formation energy ... -0.41 eV per atom

a b c (Å): 7.5666 7.5666 4.3646
angles (deg): 90.00 90.00 120.00
Closest atoms and distances in Å follow each position.
Fractional positions:
Ho 0.0000 0.5928 0.0000  3 In 3.08-3.27, 4 Ga 3.17
Ho 0.4072 0.4072 0.0000  3 In 3.08-3.27, 4 Ga 3.17
Ho 0.5928 0.0000 0.0000  3 In 3.08-3.27, 4 Ga 3.17
In 0.0000 0.0000 0.0000  6 In 2.99, 3 Ho 3.08
In 0.0000 0.2707 0.5000  2 Ga 2.79, 2 In 2.99
In 0.2707 0.0000 0.5000  2 Ga 2.79, 2 In 2.99
In 0.7293 0.7293 0.5000  2 Ga 2.79, 2 In 2.99
Ga 0.3333 0.6667 0.5000  3 In 2.79
Ga 0.6667 0.3333 0.5000  3 In 2.79

(18)
VASP calculation (GGA-PBE) on a geometry-optimized CaThGeAu structure.

Summary:
Symmetry ... F-43m (216)
Calculated formation energy ... -0.61 eV per atom

a b c (Å): 5.2010 5.2010 5.2010
angles (deg): 60.00 60.00 60.00
Closest atoms and distances in Å follow each position.
Fractional positions:
Ca 0.0000 0.0000 0.0000  4 Ge 3.18, 4 Au 3.18
Th 0.5000 0.5000 0.5000  4 Ge 3.18, 4 Au 3.18
Ge 0.7500 0.7500 0.7500  4 Th 3.18, 4 Ca 3.18
Au 0.2500 0.2500 0.2500  4 Th 3.18, 4 Ca 3.18

(19)
VASP calculation (GGA-PBE) on a geometry-optimized La2HgC structure.

Summary:
Symmetry ... Ima2 (46)
Calculated formation energy ... -0.12 eV per atom

a b c (Å): 7.1385 7.1385 7.1385
angles (deg): 135.63 82.21 114.88
Closest atoms and distances in Å follow each position.
Fractional positions:
La 0.0992 0.2500 0.3492  1 C 2.43
La 0.4635 0.9004 0.0631  2 C 2.44-2.52
La 0.8372 0.4004 0.9369  2 C 2.44-2.52
La 0.9008 0.7500 0.6508  1 C 2.43
Hg 0.3474 0.1811 0.6663  2 Hg 3.24, 5 La 3.32-3.45
Hg 0.5149 0.6811 0.3337  2 Hg 3.24, 5 La 3.32-3.45
C 0.0802 0.7058 0.8743  3 La 2.43-2.52
C 0.8315 0.2058 0.1257  3 La 2.43-2.52

(20)
VASP calculation (GGA-PBE) on a geometry-optimized NbTcP structure.

Summary:
Symmetry ... C2/m (12)
Calculated formation energy ... -0.53 eV per atom
ΔE to the lowest computed polymorph ... 87 meV per atom

a b c (Å): 5.9776 5.9776 5.4223
angles (deg): 109.68 109.68 29.84
Closest atoms and distances in Å follow each position.
Fractional positions:
Nb 0.1967 0.1967 0.1941  3 P 2.53-2.56
Nb 0.8033 0.8033 0.8059  3 P 2.53-2.56
Tc 0.4703 0.4703 0.2159  4 P 2.35-2.62
Tc 0.5297 0.5297 0.7841  4 P 2.35-2.62
P 0.1201 0.1201 0.5777  4 Tc 2.35-2.62, 3 Nb 2.53-2.56, 1 P 2.60
P 0.8799 0.8799 0.4223  4 Tc 2.35-2.62, 3 Nb 2.53-2.56, 1 P 2.60

Going through the records in order, we get V values of 77.0 328.8 158.7 293.0 119.6 210.9 85.8 67.8 242.6 158.6 150.3 93.1 216.8 106.4 59.0 105.6 216.4 99.5 222.8 90.4 Å³ per cell.
Going through the records in order, we get magnetization values of 1.840 0.000 1.052 7.526 0.000 0.000 0.001 2.975 0.000 0.001 0.000 0.000 1.002 0.000 0.000 0.265 0.000 0.000 0.000 0.000 μB per formula unit.